The following is a PBE calculation of a geometry-optimized Zr2TaCl structure, from Alexandria via LeMat-Bulk.

The structure in POSCAR format:
```
Zr2TaCl
1.0
3.273 0.000 0.000
0.000 4.557 0.000
0.000 0.000 5.502
Zr Ta Cl
2 1 1
Direct
0.000 0.000 0.000
0.500 0.000 0.500
0.000 0.500 0.500
0.500 0.500 0.000
```

- crystal system = orthorhombic
- DOS at the Fermi energy (states/eV/cell) = 3.947
- energy (eV/atom) = -7.366
- energy relative to the lowest polymorph listed for this composition (eV per atom) = 0.7482
- magnetization (μB/f.u.) = 0.00
- uncorrected formation energy (eV/atom) = 0.33